1.
Pr2Ge5Ru3, PBEsol geometry, DFT meta-GGA SCAN; crystal system = orthorhombic; E_form = -0.760 eV/atom; symmetry = Ibam
1.0
-4.952 6.205 2.910
4.952 -6.205 2.910
4.952 6.205 -2.910
Pr Ge Ru
4 10 6
Direct
0.137 0.231 0.368
0.363 0.731 0.095
0.637 0.269 0.905
0.863 0.769 0.632
0.041 0.750 0.291
0.091 0.671 0.762
0.250 0.250 0.000
0.409 0.171 0.581
0.459 0.750 0.709
0.541 0.250 0.291
0.591 0.829 0.419
0.750 0.750 0.000
0.909 0.329 0.238
0.959 0.250 0.709
0.146 0.908 0.054
0.250 0.750 0.500
0.354 0.408 0.762
0.646 0.592 0.238
0.750 0.250 0.500
0.854 0.092 0.946


2.
CaLaFe2O6, PBEsol geometry, DFT meta-GGA SCAN; crystal system = orthorhombic; symmetry = Pmn2_1; energy relative to the elements, uncorrected = -2.549 eV per atom
1.0
7.545 0.000 0.000
0.000 5.321 0.000
0.000 0.000 5.332
Ca La Fe O
2 2 4 12
Direct
0.000 0.222 0.000
0.500 0.778 0.500
0.000 0.733 0.508
0.500 0.267 0.008
0.250 0.251 0.505
0.250 0.749 0.005
0.750 0.251 0.505
0.750 0.749 0.005
0.000 0.254 0.447
0.000 0.757 0.052
0.219 0.472 0.783
0.226 0.978 0.734
0.274 0.022 0.234
0.281 0.528 0.283
0.500 0.243 0.552
0.500 0.746 0.947
0.719 0.528 0.283
0.726 0.022 0.234
0.774 0.978 0.734
0.781 0.472 0.783


3.
K2SrAuCl, PBEsol geometry, DFT meta-GGA SCAN; crystal system = tetragonal; symmetry = P4/mmm; energy relative to the elements, uncorrected = -0.760 eV per atom
1.0
5.654 0.000 0.000
0.000 5.654 0.000
0.000 0.000 5.785
K Sr Au Cl
2 1 1 1
Direct
0.000 0.500 0.000
0.500 0.000 0.000
0.000 0.000 0.500
0.500 0.500 0.500
0.000 0.000 0.000


4.
CaRh2Au, PBEsol geometry, DFT meta-GGA SCAN; crystal system = orthorhombic; E_form = -0.140 eV/atom; symmetry = Pmmm
1.0
3.010 0.000 0.000
0.000 4.603 0.000
0.000 0.000 4.750
Ca Rh Au
1 2 1
Direct
0.000 0.000 0.000
0.000 0.500 0.500
0.500 0.500 0.000
0.500 0.000 0.500


Computed mass density, in the same sequence as the records: 8.8; 6.0; 3.6; 11.2 Mg/m³.
Computed magnetic moment, in the same sequence as the records: 0.000; 15.350; 0.000; 0.000 μB per cell.